Density functional theory data (PBE-GGA) for crystalline TlFeCu at its relaxed geometry.

* calculated formation energy: 1.480 eV per formula unit
* DFT total energy: -4.48 eV per atom
* offset from the most stable computed form: 0.0 meV/atom
* crystal system: tetragonal
* magnetization: 2.84 μB/f.u.
* symmetry: I4mm (107)
* N(E_F): 1.74 states/eV/f.u.

Lattice parameters (Å, degrees): 2.984 2.984 11.094 90.00 90.00 90.00
Fractional positions:
Tl 0.000 0.000 0.000
Tl 0.500 0.500 0.500
Fe 0.000 0.000 0.686
Fe 0.500 0.500 0.186
Cu 0.000 0.000 0.316
Cu 0.500 0.500 0.816

Density functional theory data (PBE-GGA) for crystalline ZrSb2Te at its relaxed geometry.

* DFT total energy: -5.19 eV per atom
* raw formation energy: -0.207 eV per atom
* crystal system: orthorhombic
* magnetization: 0.00 μB/f.u.
* symmetry: Cmmm (65)
* N(E_F): 2.26 states/eV/f.u.

Lattice parameters (Å, degrees): 4.142 4.665 12.189 90.00 90.00 90.00
Fractional positions:
Zr 0.000 0.000 0.000
Zr 0.500 0.500 0.000
Sb 0.000 0.500 0.188
Sb 0.000 0.500 0.812
Sb 0.500 0.000 0.188
Sb 0.500 0.000 0.812
Te 0.000 0.000 0.500
Te 0.500 0.500 0.500

Density functional theory data (PBE-GGA) for crystalline PmDy6Tm12 at its relaxed geometry.

* calculated formation energy: 3.106 eV per formula unit
* DFT total energy: -4.36 eV per atom
* offset from the most stable computed form: 0.0 meV/atom
* crystal system: trigonal
* magnetization: 0.00 μB/f.u.
* symmetry: R-3 (148)
* N(E_F): 29.56 states/eV/f.u.

Lattice parameters (Å, degrees): 8.442 8.442 8.442 88.33 88.33 88.33
Fractional positions:
Pm 0.000 0.000 0.000
Dy 0.089 0.683 0.255
Dy 0.255 0.089 0.683
Dy 0.317 0.745 0.911
Dy 0.683 0.255 0.089
Dy 0.745 0.911 0.317
Dy 0.911 0.317 0.745
Tm 0.007 0.217 0.352
Tm 0.217 0.352 0.007
Tm 0.229 0.454 0.563
Tm 0.352 0.007 0.217
Tm 0.437 0.771 0.546
Tm 0.454 0.563 0.229
Tm 0.546 0.437 0.771
Tm 0.563 0.229 0.454
Tm 0.648 0.993 0.783
Tm 0.771 0.546 0.437
Tm 0.783 0.648 0.993
Tm 0.993 0.783 0.648

Density functional theory data (PBE-GGA) for crystalline TaTl2As at its relaxed geometry.

* calculated formation energy: 0.386 eV per formula unit
* DFT total energy: -5.21 eV per atom
* offset from the most stable computed form: 0.0 meV/atom
* crystal system: tetragonal
* magnetization: 0.00 μB/f.u.
* symmetry: P4mm (99)
* N(E_F): 3.01 states/eV/f.u.

Lattice parameters (Å, degrees): 3.407 3.407 8.279 90.00 90.00 90.00
Fractional positions:
Ta 0.000 0.000 0.000
Tl 0.000 0.000 0.582
Tl 0.500 0.500 0.256
As 0.500 0.500 0.871

Density functional theory data (PBE-GGA) for crystalline NpMoAs at its relaxed geometry.

* calculated formation energy: 0.061 eV per formula unit
* DFT total energy: -9.45 eV per atom
* crystal system: orthorhombic
* magnetization: 4.26 μB/f.u.
* symmetry: Fddd (70)
* N(E_F): 6.48 states/eV/f.u.

Lattice parameters (Å, degrees): 8.540 7.180 6.718 75.75 54.57 49.68
Fractional positions:
Np 0.000 0.000 0.000
Np 0.000 0.000 0.500
Np 0.000 0.500 0.000
Np 0.500 0.000 0.000
Mo 0.251 0.251 0.499
Mo 0.499 0.499 0.251
Mo 0.501 0.501 0.749
Mo 0.749 0.749 0.501
As 0.204 0.546 0.204
As 0.454 0.796 0.454
As 0.546 0.204 0.546
As 0.796 0.454 0.796

Density functional theory data (PBE-GGA) for crystalline Ac2Ga2Pd3 at its relaxed geometry.

* calculated formation energy: -5.670 eV per formula unit
* DFT total energy: -5.07 eV per atom
* offset from the most stable computed form: 0.0 meV/atom
* crystal system: orthorhombic
* magnetization: 0.00 μB/f.u.
* symmetry: Cmcm (63)
* N(E_F): 3.57 states/eV/f.u.

Lattice parameters (Å, degrees): 10.084 10.084 7.564 90.00 90.00 155.34
Fractional positions:
Ac 0.060 0.940 0.750
Ac 0.151 0.849 0.250
Ac 0.849 0.151 0.750
Ac 0.940 0.060 0.250
Ga 0.306 0.694 0.063
Ga 0.306 0.694 0.437
Ga 0.694 0.306 0.563
Ga 0.694 0.306 0.937
Pd 0.227 0.773 0.750
Pd 0.433 0.567 0.550
Pd 0.433 0.567 0.950
Pd 0.567 0.433 0.050
Pd 0.567 0.433 0.450
Pd 0.773 0.227 0.250

Density functional theory data (PBE-GGA) for crystalline GdCdPtAu at its relaxed geometry.

* calculated formation energy: -2.889 eV per formula unit
* DFT total energy: -6.80 eV per atom
* crystal system: cubic
* magnetization: 7.10 μB/f.u.
* symmetry: F-43m (216)
* N(E_F): 2.13 states/eV/f.u.

Lattice parameters (Å, degrees): 6.940 6.940 6.940 90.00 90.00 90.00
Fractional positions:
Gd 0.000 0.000 0.000
Gd 0.000 0.500 0.500
Gd 0.500 0.000 0.500
Gd 0.500 0.500 0.000
Cd 0.000 0.000 0.500
Cd 0.000 0.500 0.000
Cd 0.500 0.000 0.000
Cd 0.500 0.500 0.500
Pt 0.250 0.250 0.250
Pt 0.250 0.750 0.750
Pt 0.750 0.250 0.750
Pt 0.750 0.750 0.250
Au 0.250 0.250 0.750
Au 0.250 0.750 0.250
Au 0.750 0.250 0.250
Au 0.750 0.750 0.750

Density functional theory data (PBE-GGA) for crystalline YSbTeW2 at its relaxed geometry.

* DFT total energy: -5.54 eV per atom
* raw formation energy: 2.387 eV per atom
* crystal system: tetragonal
* magnetization: 3.55 μB/f.u.
* symmetry: P4/mmm (123)
* N(E_F): 5.56 states/eV/f.u.

Lattice parameters (Å, degrees): 5.137 5.137 5.487 90.00 90.00 90.00
Fractional positions:
Y 0.000 0.000 0.000
Sb 0.000 0.000 0.500
Te 0.500 0.500 0.500
W 0.000 0.500 0.000
W 0.500 0.000 0.000

Density functional theory data (PBE-GGA) for crystalline Sr2Li2Ga at its relaxed geometry.

* calculated formation energy: -0.424 eV per formula unit
* DFT total energy: -2.13 eV per atom
* offset from the most stable computed form: 83.7 meV/atom
* crystal system: tetragonal
* magnetization: 0.00 μB/f.u.
* symmetry: I4/mmm (139)
* N(E_F): 4.05 states/eV/f.u.

Lattice parameters (Å, degrees): 3.958 3.958 20.052 90.00 90.00 90.00
Fractional positions:
Sr 0.000 0.000 0.093
Sr 0.000 0.000 0.907
Sr 0.500 0.500 0.407
Sr 0.500 0.500 0.593
Li 0.000 0.500 0.250
Li 0.000 0.500 0.750
Li 0.500 0.000 0.250
Li 0.500 0.000 0.750
Ga 0.000 0.000 0.500
Ga 0.500 0.500 0.000

Density functional theory data (PBE-GGA) for crystalline TaCoW2 at its relaxed geometry.

* calculated formation energy: 1.353 eV per formula unit
* DFT total energy: -10.88 eV per atom
* offset from the most stable computed form: 312.3 meV/atom
* crystal system: trigonal
* magnetization: 0.60 μB/f.u.
* symmetry: R3m (160)
* N(E_F): 4.73 states/eV/f.u.

Lattice parameters (Å, degrees): 2.795 2.795 27.676 90.00 90.00 120.00
Fractional positions:
Ta 0.000 0.000 0.000
Ta 0.333 0.667 0.667
Ta 0.667 0.333 0.333
Co 0.000 0.000 0.255
Co 0.333 0.667 0.921
Co 0.667 0.333 0.588
W 0.000 0.000 0.514
W 0.000 0.000 0.759
W 0.333 0.667 0.181
W 0.333 0.667 0.425
W 0.667 0.333 0.092
W 0.667 0.333 0.848

Density functional theory data (PBE-GGA) for crystalline HfCoSe2N at its relaxed geometry.

* DFT total energy: -6.45 eV per atom
* raw formation energy: 0.016 eV per atom
* offset from the most stable computed form: 0.0 meV/atom
* crystal system: tetragonal
* magnetization: 0.00 μB/f.u.
* symmetry: P4/mmm (123)
* N(E_F): 4.26 states/eV/f.u.

Lattice parameters (Å, degrees): 4.895 4.895 3.420 90.00 90.00 90.00
Fractional positions:
Hf 0.000 0.000 0.000
Co 0.500 0.500 0.500
Se 0.000 0.500 0.500
Se 0.500 0.000 0.500
N 0.500 0.500 0.000

Density functional theory data (PBE-GGA) for crystalline SrEu2Th at its relaxed geometry.

* calculated formation energy: 1.367 eV per formula unit
* DFT total energy: -7.07 eV per atom
* offset from the most stable computed form: 195.2 meV/atom
* crystal system: trigonal
* magnetization: 15.33 μB/f.u.
* symmetry: R-3m (166)
* N(E_F): 6.14 states/eV/f.u.

Lattice parameters (Å, degrees): 3.680 3.680 41.225 90.00 90.00 120.00
Fractional positions:
Sr 0.000 0.000 0.000
Sr 0.333 0.667 0.667
Sr 0.667 0.333 0.333
Eu 0.000 0.000 0.416
Eu 0.000 0.000 0.584
Eu 0.333 0.667 0.083
Eu 0.333 0.667 0.251
Eu 0.667 0.333 0.749
Eu 0.667 0.333 0.917
Th 0.000 0.000 0.500
Th 0.333 0.667 0.167
Th 0.667 0.333 0.833